1.
Density functional theory data (PBE) for a geometry-optimized Zn2CoI8 structure.

Unit cell a=14.783 b=8.721 c=6.807 alpha=90.00 beta=92.87 gamma=90.00
Space group C2/m (No. 12)
Unique sites:
Zn1 0.162 0.000 0.440 [4 per cell]
Co1 0.000 0.000 0.000 [2 per cell]
I1 0.065 0.214 0.240 [8 per cell]
I2 0.158 0.000 0.827 [4 per cell]
I3 0.167 0.500 0.609 [4 per cell]

## Properties
- volume (Å³/cell) = 876.4
- total magnetization (μB/atom) = 0.077
- energy relative to the elements, uncorrected (eV/f.u.) = -2.80
- D(E_F) (states/eV/cell) = 30.70


2.
Density functional theory data (PBE) for a geometry-optimized ZnCoI3 structure.

Unit cell a=5.574 b=5.574 c=5.574 alpha=90.00 beta=90.00 gamma=90.00
Space group Pm-3m (No. 221)
Unique sites:
Zn1 0.000 0.000 0.000 [1 per cell]
Co1 0.500 0.500 0.500 [1 per cell]
I1 0.000 0.000 0.500 [3 per cell]

## Properties
- volume (Å³/cell) = 173.2
- total magnetization (μB/atom) = 0.512
- distance to the lowest polymorph of the same formula (eV per formula unit) = 1.441
- energy relative to the elements, uncorrected (eV/f.u.) = 3.06
- D(E_F) (states/eV/cell) = 5.10


3.
Density functional theory data (PBE) for a geometry-optimized ZnCoI2 structure.

Unit cell a=7.311 b=7.311 c=7.311 alpha=90.00 beta=90.00 gamma=90.00
Space group Fm-3m (No. 225)
Unique sites:
Zn1 0.000 0.000 0.000 [4 per cell]
Co1 0.000 0.000 0.500 [4 per cell]
I1 0.250 0.250 0.250 [8 per cell]

## Properties
- volume (Å³/cell) = 390.8
- total magnetization (μB/atom) = 0.625
- distance to the lowest polymorph of the same formula (eV per formula unit) = 1.524
- energy relative to the elements, uncorrected (eV/f.u.) = 2.50
- D(E_F) (states/eV/cell) = 20.53


4.
Density functional theory data (PBE) for a geometry-optimized Zn5CoI12 structure.

Unit cell a=7.080 b=12.275 c=15.089 alpha=90.00 beta=90.03 gamma=90.00
Space group C2/m (No. 12)
Unique sites:
Zn1 0.000 0.000 0.000 [2 per cell]
Zn2 0.000 0.167 0.500 [4 per cell]
Zn3 0.000 0.333 0.000 [4 per cell]
Co1 0.000 0.500 0.500 [2 per cell]
I1 0.163 0.337 0.605 [8 per cell]
I2 0.167 0.167 0.892 [8 per cell]
I3 0.167 0.500 0.892 [4 per cell]
I4 0.174 0.000 0.605 [4 per cell]

## Properties
- volume (Å³/cell) = 1311.3
- total magnetization (μB/atom) = 0.172
- energy relative to the elements, uncorrected (eV/f.u.) = -6.78
- D(E_F) (states/eV/cell) = 13.90